# MgCuAs2O7

MgCuAs2O7 at its PBEsol-relaxed geometry (SCAN, the Alexandria database).

Calculated values
The calculation puts the uncorrected formation energy at -154 kJ/mol of atoms. As for the calculated volume: 531.0 Å³ per cell.

Unit cell a=7.1180 b=8.4455 c=9.6130 alpha=90.00 beta=113.25 gamma=90.00
Last column: nearest neighbours and their distance in Å.
Space group P2_1/c (No. 14)
Inequivalent atoms, fractional coordinates:
Mg (0.2366, 0.0680, 0.1090) (multiplicity 4)  6 O 2.03-2.22
Cu (0.2960, 0.0632, 0.6660) (multiplicity 4)  4 O 1.92-1.98
As (0.0476, 0.7346, 0.7340) (multiplicity 4)  4 O 1.68-1.77
As (0.4646, 0.7228, 0.0333) (multiplicity 4)  4 O 1.67-1.76
O (0.0178, 0.5976, 0.5990) (multiplicity 4)  1 As 1.69
O (0.1102, 0.5832, 0.1977) (multiplicity 4)  1 As 1.68
O (0.1587, 0.2446, 0.7162) (multiplicity 4)  1 As 1.72
O (0.2335, 0.6479, 0.8984) (multiplicity 4)  2 As 1.76-1.77
O (0.3637, 0.2321, 0.5506) (multiplicity 4)  1 As 1.71
O (0.4355, 0.5992, 0.5990) (multiplicity 4)  1 As 1.67
O (0.4903, 0.0744, 0.3362) (multiplicity 4)  1 As 1.71